# BaNiIO6 | Alexandria via LeMat-Bulk | PBE with a Hubbard U | relaxed
# - ρ (kg/m³) = 5037
# - E_tot (eV per atom) = -5.096
# - total magnetic moment (μB/f.u.) = 1.000
data_BaNiIO6
_cell_length_a 5.2368
_cell_length_b 5.2368
_cell_length_c 5.8144
_cell_angle_alpha 90.00
_cell_angle_beta 90.00
_cell_angle_gamma 120.00
_space_group_name_H-M_alt 'P 3 1 2'
_space_group_IT_number 149
loop_
_space_group_symop_operation_xyz
'x,y,z'
'-y,x-y,z'
'-x+y,-x,z'
'-y,-x,-z'
'-x+y,y,-z'
'x,x-y,-z'
loop_
_atom_site_label
_atom_site_type_symbol
_atom_site_fract_x
_atom_site_fract_y
_atom_site_fract_z
Ba1 Ba 0.0000 0.0000 0.0000
Ni1 Ni 0.3333 0.6667 0.5000
I1 I 0.6667 0.3333 0.5000
O1 O 0.3936 0.0162 0.6893